(1)
A plane-wave DFT calculation with PBE was carried out for an optimized crystal structure of PrErTc2O8.

Summary:
For the uncorrected formation energy, the calculation gives -2.072 eV/atom.

Cell: 5.9037 5.9037 6.9132 Å, 90.00 90.00 120.00°
Space group P-3m1 (No. 164)
Unique sites:
1 Pr 0.0000 0.0000 0.0000 x1
2 Er 0.0000 0.0000 0.5000 x1
3 Tc 0.3333 0.6667 0.7945 x2
4 O 0.1572 0.3143 0.7243 x6
5 O 0.3333 0.6667 0.0528 x2

***

(2)
A plane-wave DFT calculation with PBE was carried out for an optimized crystal structure of PrErTeO6.

Summary:
For the uncorrected formation energy, the calculation gives -2.450 eV/atom.

Cell: 5.5716 5.5716 9.9918 Å, 90.00 90.00 120.00°
Space group P-31c (No. 163)
Unique sites:
1 Pr 0.0000 0.0000 0.0000 x2
2 Er 0.3333 0.6667 0.2500 x2
3 Te 0.3333 0.6667 0.7500 x2
4 O 0.0393 0.3792 0.6397 x12